No. 1
Compound: Ca2LaCoHg
Source: Alexandria
Functional: PBE
Structure: relaxed

Unit cell a=5.490 b=5.490 c=5.045 alpha=90.00 beta=90.00 gamma=90.00
Atoms (fractional coordinates):
Ca  0.000  0.500  0.000
Ca  0.500  0.000  0.000
La  0.000  0.000  0.500
Co  0.000  0.000  0.000
Hg  0.500  0.500  0.500

Output
Energy relative to the elements = -0.10 eV/atom
Calculated total energy = -16.86 eV for the cell shown
Spin magnetization = 0.0 μB per formula unit

---

No. 2
Compound: SrCr2Ag
Source: Alexandria
Functional: PBE
Structure: relaxed

Unit cell a=10.401 b=10.401 c=10.401 alpha=154.77 beta=154.77 gamma=35.98
Atoms (fractional coordinates):
Sr  0.375  0.625  0.750
Sr  0.625  0.375  0.250
Cr  0.000  0.000  0.000
Cr  0.000  0.000  0.500
Cr  0.000  0.500  0.000
Cr  0.500  0.000  0.500
Ag  0.125  0.875  0.250
Ag  0.875  0.125  0.750

Output
Energy relative to the elements = 0.96 eV/atom
Calculated total energy = -39.85 eV for the cell shown
Polymorph energy (0 for the lowest one) = 547 meV per atom
Spin magnetization = 5.5 μB per formula unit

---

No. 3
Compound: TaS
Source: Alexandria
Functional: PBE
Structure: relaxed

Unit cell a=7.684 b=7.684 c=7.684 alpha=24.20 beta=24.20 gamma=24.20
Atoms (fractional coordinates):
Ta  0.000  0.000  0.000
Ta  0.149  0.149  0.149
S  0.261  0.261  0.261
S  0.411  0.411  0.411

Output
Uncorrected formation energy = -0.7065 eV per atom
Calculated total energy = -34.79 eV for the cell shown
Spin magnetization = 0.0 μB per formula unit

---

No. 4
Compound: LiSbO3
Source: Alexandria
Functional: PBE
Structure: relaxed

Unit cell a=5.422 b=5.422 c=5.182 alpha=96.63 beta=96.63 gamma=123.20
Atoms (fractional coordinates):
Li  0.154  0.846  0.000
Li  0.846  0.154  0.000
Sb  0.340  0.660  0.500
Sb  0.660  0.340  0.500
O  0.048  0.450  0.735
O  0.301  0.301  0.285
O  0.450  0.048  0.735
O  0.550  0.952  0.265
O  0.699  0.699  0.715
O  0.952  0.550  0.265

Output
Uncorrected formation energy = -1.6603 eV per atom
Calculated total energy = -58.42 eV for the cell shown
Spin magnetization = 0.0 μB per formula unit

---

No. 5
Compound: Sr5Ta4O15
Source: Alexandria
Functional: PBE
Structure: relaxed

Unit cell a=5.711 b=5.711 c=23.361 alpha=90.00 beta=90.00 gamma=120.00
Atoms (fractional coordinates):
Sr  0.000  0.000  0.250
Sr  0.000  0.000  0.750
Sr  0.333  0.667  0.140
Sr  0.333  0.667  0.473
Sr  0.333  0.667  0.640
Sr  0.333  0.667  0.973
Sr  0.667  0.333  0.027
Sr  0.667  0.333  0.360
Sr  0.667  0.333  0.527
Sr  0.667  0.333  0.860
Ta  0.000  0.000  0.093
Ta  0.000  0.000  0.407
Ta  0.000  0.000  0.593
Ta  0.000  0.000  0.907
Ta  0.333  0.667  0.302
Ta  0.333  0.667  0.802
Ta  0.667  0.333  0.198
Ta  0.667  0.333  0.698
O  0.000  0.458  0.250
O  0.000  0.542  0.750
O  0.096  0.330  0.057
O  0.096  0.765  0.557
O  0.119  0.330  0.845
O  0.119  0.788  0.345
O  0.212  0.330  0.345
O  0.212  0.881  0.845
O  0.235  0.330  0.557
O  0.235  0.904  0.057
O  0.330  0.096  0.443
O  0.330  0.119  0.655
O  0.330  0.212  0.155
O  0.330  0.235  0.943
O  0.458  0.000  0.250
O  0.458  0.458  0.750
O  0.542  0.000  0.750
O  0.542  0.542  0.250
O  0.670  0.765  0.057
O  0.670  0.788  0.845
O  0.670  0.881  0.345
O  0.670  0.904  0.557
O  0.765  0.096  0.943
O  0.765  0.670  0.443
O  0.788  0.119  0.155
O  0.788  0.670  0.655
O  0.881  0.212  0.655
O  0.881  0.670  0.155
O  0.904  0.235  0.443
O  0.904  0.670  0.943

Output
Uncorrected formation energy = -3.0461 eV per atom
Calculated total energy = -406.60 eV for the cell shown
Polymorph energy (0 for the lowest one) = 0 meV per atom
Spin magnetization = 0.0 μB per formula unit

---

No. 6
Compound: CuAgS2
Source: Alexandria
Functional: PBE
Structure: relaxed

Unit cell a=6.557 b=6.557 c=6.557 alpha=129.83 beta=129.83 gamma=73.68
Atoms (fractional coordinates):
Cu  0.000  0.000  0.000
Cu  0.750  0.250  0.500
Ag  0.250  0.750  0.500
Ag  0.500  0.500  0.000
S  0.086  0.625  0.961
S  0.375  0.336  0.461
S  0.664  0.125  0.039
S  0.875  0.914  0.539

Output
Uncorrected formation energy = -0.0171 eV per atom
Calculated total energy = -30.54 eV for the cell shown
Spin magnetization = 0.0 μB per formula unit

---

No. 7
Compound: Al6ZnRh5
Source: Alexandria
Functional: PBE
Structure: relaxed

Unit cell a=7.444 b=7.444 c=7.444 alpha=146.46 beta=133.00 gamma=58.97
Atoms (fractional coordinates):
Al  0.076  0.330  0.747
Al  0.245  0.000  0.245
Al  0.417  0.670  0.747
Al  0.583  0.330  0.253
Al  0.755  0.000  0.755
Al  0.924  0.670  0.253
Zn  0.500  0.500  0.000
Rh  0.000  0.500  0.500
Rh  0.165  0.165  0.000
Rh  0.336  0.836  0.500
Rh  0.664  0.164  0.500
Rh  0.835  0.835  0.000

Output
Energy relative to the elements = -0.88 eV/atom
Calculated total energy = -71.08 eV for the cell shown
Spin magnetization = 0.0 μB per formula unit

---

No. 8
Compound: Dy3Ho13
Source: Alexandria
Functional: PBE
Structure: relaxed

Unit cell a=7.210 b=8.364 c=8.364 alpha=83.66 beta=90.00 gamma=90.00
Atoms (fractional coordinates):
Dy  0.000  0.000  0.000
Dy  0.250  0.750  0.750
Dy  0.750  0.750  0.750
Ho  0.000  0.417  0.917
Ho  0.000  0.500  0.500
Ho  0.000  0.917  0.417
Ho  0.250  0.167  0.666
Ho  0.250  0.250  0.250
Ho  0.250  0.666  0.167
Ho  0.500  0.000  0.000
Ho  0.500  0.416  0.917
Ho  0.500  0.500  0.500
Ho  0.500  0.917  0.416
Ho  0.750  0.167  0.666
Ho  0.750  0.250  0.250
Ho  0.750  0.666  0.167

Output
Energy relative to the elements = 0.00 eV/atom
Calculated total energy = -73.25 eV for the cell shown
Polymorph energy (0 for the lowest one) = 0 meV per atom
Spin magnetization = 0.0 μB per formula unit